Run one
# Sr2DyUO6

Sr2DyUO6 after structural relaxation (PBE-GGA, the Alexandria database).

Cell: 6.1568 6.1568 6.1568 Å, 60.00 60.00 60.00°
Fractional coordinates of all 10 atoms:
Sr 0.2500 0.2500 0.2500
Sr 0.7500 0.7500 0.7500
Dy 0.0000 0.0000 0.0000
U 0.5000 0.5000 0.5000
O 0.2547 0.2547 0.7453
O 0.2547 0.7453 0.2547
O 0.2547 0.7453 0.7453
O 0.7453 0.2547 0.2547
O 0.7453 0.2547 0.7453
O 0.7453 0.7453 0.2547

Values from the calculation:
Calculated volume, Å³ per atom: 16.5

***

Run two
# Sr2DyUO6

Sr2DyUO6 after structural relaxation (PBE-GGA, the Alexandria database).

Cell: 5.9884 6.1222 10.4319 Å, 90.00 125.03 90.00°
Fractional coordinates of all 20 atoms:
Sr 0.2395 0.0433 0.2507
Sr 0.2395 0.4567 0.7507
Sr 0.7605 0.5433 0.2493
Sr 0.7605 0.9567 0.7493
Dy 0.5000 0.0000 0.0000
Dy 0.5000 0.5000 0.5000
U 0.0000 0.0000 0.5000
U 0.0000 0.5000 0.0000
O 0.1417 0.2116 0.9448
O 0.1417 0.2884 0.4448
O 0.2388 0.6979 0.9494
O 0.2388 0.8021 0.4494
O 0.3421 0.0376 0.7431
O 0.3421 0.4624 0.2431
O 0.6579 0.5376 0.7569
O 0.6579 0.9624 0.2569
O 0.7612 0.1979 0.5506
O 0.7612 0.3021 0.0506
O 0.8583 0.7116 0.5552
O 0.8583 0.7884 0.0552

Values from the calculation:
Calculated volume, Å³ per atom: 15.7

***

Most stable structure, least stable structure: run two, run one.

***

Run one
# TbDy3O6

TbDy3O6 after structural relaxation (PBE-GGA, the Alexandria database).

Cell: 6.0804 6.0804 6.0804 Å, 57.25 57.25 57.25°
Fractional coordinates of all 10 atoms:
Tb 0.0000 0.0000 0.0000
Dy 0.2824 0.2824 0.2824
Dy 0.4992 0.4992 0.4992
Dy 0.7828 0.7828 0.7828
O 0.0982 0.3933 0.6808
O 0.1830 0.8912 0.5973
O 0.3933 0.6808 0.0982
O 0.5973 0.1830 0.8912
O 0.6808 0.0982 0.3933
O 0.8912 0.5973 0.1830

Values from the calculation:
Calculated volume, Å³ per atom: 14.9

***

Run two
# TbDy3O6

TbDy3O6 after structural relaxation (PBE-GGA, the Alexandria database).

Cell: 6.7468 6.7468 6.7468 Å, 91.50 91.50 91.50°
Fractional coordinates of all 20 atoms:
Tb 0.0000 0.0000 0.0000
Tb 0.5000 0.5000 0.5000
Dy 0.0553 0.5632 0.7514
Dy 0.2486 0.9447 0.4368
Dy 0.4368 0.2486 0.9447
Dy 0.5632 0.7514 0.0553
Dy 0.7514 0.0553 0.5632
Dy 0.9447 0.4368 0.2486
O 0.0288 0.8970 0.6810
O 0.1030 0.3190 0.9712
O 0.1832 0.5964 0.4287
O 0.3190 0.9712 0.1030
O 0.4036 0.5713 0.8168
O 0.4287 0.1832 0.5964
O 0.5713 0.8168 0.4036
O 0.5964 0.4287 0.1832
O 0.6810 0.0288 0.8970
O 0.8168 0.4036 0.5713
O 0.8970 0.6810 0.0288
O 0.9712 0.1030 0.3190

Values from the calculation:
Calculated volume, Å³ per atom: 15.3

***

Most stable structure, least stable structure: run two, run one.

***

Run one
# Dy2Tc2O7

Dy2Tc2O7 after structural relaxation (PBE-GGA, the Alexandria database).

Cell: 5.1309 5.1309 5.1191 Å, 90.00 90.00 92.28°
Fractional coordinates of all 11 atoms:
Dy 0.2396 0.2396 0.0000
Dy 0.7604 0.7604 0.0000
Tc 0.2395 0.7605 0.5000
Tc 0.7605 0.2395 0.5000
O 0.0000 0.0000 0.2749
O 0.0000 0.0000 0.7251
O 0.0000 0.5000 0.2644
O 0.0000 0.5000 0.7356
O 0.5000 0.0000 0.2644
O 0.5000 0.0000 0.7356
O 0.5000 0.5000 0.5000

Values from the calculation:
Calculated volume, Å³ per atom: 12.2

***

Run two
# Dy2Tc2O7

Dy2Tc2O7 after structural relaxation (PBE-GGA, the Alexandria database).

Cell: 7.2945 7.2945 7.2945 Å, 60.00 60.00 60.00°
Fractional coordinates of all 22 atoms:
Dy 0.0000 0.0000 0.0000
Dy 0.0000 0.0000 0.5000
Dy 0.0000 0.5000 0.0000
Dy 0.5000 0.0000 0.0000
Tc 0.0000 0.5000 0.5000
Tc 0.5000 0.0000 0.5000
Tc 0.5000 0.5000 0.0000
Tc 0.5000 0.5000 0.5000
O 0.1250 0.1250 0.1250
O 0.1617 0.1617 0.5883
O 0.1617 0.5883 0.1617
O 0.1617 0.5883 0.5883
O 0.4117 0.4117 0.8383
O 0.4117 0.8383 0.4117
O 0.4117 0.8383 0.8383
O 0.5883 0.1617 0.1617
O 0.5883 0.1617 0.5883
O 0.5883 0.5883 0.1617
O 0.8383 0.4117 0.4117
O 0.8383 0.4117 0.8383
O 0.8383 0.8383 0.4117
O 0.8750 0.8750 0.8750

Values from the calculation:
Calculated volume, Å³ per atom: 12.5

***

Most stable structure, least stable structure: run two, run one.

***

Run one
# DyTcO4

DyTcO4 after structural relaxation (PBE-GGA, the Alexandria database).

Cell: 7.5864 5.3144 7.4726 Å, 90.00 99.42 90.00°
Fractional coordinates of all 24 atoms:
Dy 0.1485 0.2139 0.3933
Dy 0.1485 0.2861 0.8933
Dy 0.8515 0.7139 0.1067
Dy 0.8515 0.7861 0.6067
Tc 0.3375 0.7305 0.2003
Tc 0.3375 0.7695 0.7003
Tc 0.6625 0.2305 0.2997
Tc 0.6625 0.2695 0.7997
O 0.1100 0.5127 0.1734
O 0.1100 0.9873 0.6734
O 0.1807 0.0068 0.1219
O 0.1807 0.4932 0.6219
O 0.3291 0.6427 0.9437
O 0.3291 0.8573 0.4437
O 0.4397 0.0986 0.7990
O 0.4397 0.4014 0.2990
O 0.5603 0.5986 0.7010
O 0.5603 0.9014 0.2010
O 0.6709 0.1427 0.5563
O 0.6709 0.3573 0.0563
O 0.8193 0.5068 0.3781
O 0.8193 0.9932 0.8781
O 0.8900 0.0127 0.3266
O 0.8900 0.4873 0.8266

Values from the calculation:
Calculated volume, Å³ per atom: 12.4

***

Run two
# DyTcO4

DyTcO4 after structural relaxation (PBE-GGA, the Alexandria database).

Cell: 5.8030 4.9659 5.7322 Å, 90.00 109.82 90.00°
Fractional coordinates of all 12 atoms:
Dy 0.0000 0.0000 0.0000
Dy 0.0000 0.5000 0.5000
Tc 0.5000 0.0000 0.5000
Tc 0.5000 0.5000 0.0000
O 0.1740 0.1523 0.3863
O 0.1740 0.3477 0.8863
O 0.3822 0.7159 0.6817
O 0.3822 0.7841 0.1817
O 0.6178 0.2159 0.8183
O 0.6178 0.2841 0.3183
O 0.8260 0.6523 0.1137
O 0.8260 0.8477 0.6137

Values from the calculation:
Calculated volume, Å³ per atom: 13.0

***

Most stable structure, least stable structure: run one, run two.

***

Run one
# Dy2TeO

Dy2TeO after structural relaxation (PBE-GGA, the Alexandria database).

Cell: 7.1294 7.1294 7.1294 Å, 30.70 30.70 30.70°
Fractional coordinates of all 4 atoms:
Dy 0.2270 0.2270 0.2270
Dy 0.7730 0.7730 0.7730
Te 0.0000 0.0000 0.0000
O 0.5000 0.5000 0.5000

Values from the calculation:
Calculated volume, Å³ per atom: 20.9

***

Run two
# Dy2TeO

Dy2TeO after structural relaxation (PBE-GGA, the Alexandria database).

Cell: 8.0057 6.6060 6.7525 Å, 90.00 93.45 90.00°
Fractional coordinates of all 16 atoms:
Dy 0.0609 0.1716 0.3441
Dy 0.0609 0.3284 0.8441
Dy 0.3019 0.6415 0.5532
Dy 0.3019 0.8585 0.0532
Dy 0.6981 0.1415 0.9468
Dy 0.6981 0.3585 0.4468
Dy 0.9391 0.6716 0.1559
Dy 0.9391 0.8284 0.6559
Te 0.3624 0.1222 0.6828
Te 0.3624 0.3778 0.1828
Te 0.6376 0.6222 0.8172
Te 0.6376 0.8778 0.3172
O 0.1248 0.6639 0.8567
O 0.1248 0.8361 0.3567
O 0.8752 0.1639 0.6433
O 0.8752 0.3361 0.1433

Values from the calculation:
Calculated volume, Å³ per atom: 22.3

***

Most stable structure, least stable structure: run two, run one.

***

Run one
# DyTeO4

DyTeO4 after structural relaxation (PBE-GGA, the Alexandria database).

Cell: 5.4883 5.1947 5.8569 Å, 90.00 90.00 90.00°
Fractional coordinates of all 12 atoms:
Dy 0.0000 0.0000 0.0000
Dy 0.0000 0.5000 0.5000
Te 0.5000 0.0000 0.3576
Te 0.5000 0.5000 0.8576
O 0.1898 0.1952 0.3081
O 0.1898 0.3048 0.8081
O 0.3440 0.7407 0.6115
O 0.3440 0.7593 0.1115
O 0.6560 0.2407 0.1115
O 0.6560 0.2593 0.6115
O 0.8102 0.6952 0.8081
O 0.8102 0.8048 0.3081

Values from the calculation:
Calculated volume, Å³ per atom: 13.9

***

Run two
# DyTeO4

DyTeO4 after structural relaxation (PBE-GGA, the Alexandria database).

Cell: 5.3698 5.3698 5.3698 Å, 95.26 95.26 144.74°
Fractional coordinates of all 6 atoms:
Dy 0.0000 0.0000 0.0000
Te 0.2500 0.7500 0.5000
O 0.3064 0.5212 0.7190
O 0.4126 0.6936 0.2148
O 0.4788 0.1978 0.7852
O 0.8022 0.5874 0.2810

Values from the calculation:
Calculated volume, Å³ per atom: 14.2

***

Most stable structure, least stable structure: run one, run two.

***

Run one
# Dy2UO6

Dy2UO6 after structural relaxation (PBE-GGA, the Alexandria database).

Cell: 6.4604 6.4604 6.4604 Å, 145.41 131.03 61.33°
Fractional coordinates of all 9 atoms:
Dy 0.1665 0.1665 0.0000
Dy 0.8335 0.8335 0.0000
U 0.5000 0.5000 0.0000
O 0.1024 0.3436 0.7588
O 0.2672 0.0000 0.2672
O 0.4151 0.6564 0.7588
O 0.5849 0.3436 0.2412
O 0.7328 0.0000 0.7328
O 0.8976 0.6564 0.2412

Values from the calculation:
Calculated volume, Å³ per atom: 12.7

***

Run two
# Dy2UO6

Dy2UO6 after structural relaxation (PBE-GGA, the Alexandria database).

Cell: 5.0950 5.0950 10.4535 Å, 90.00 90.00 90.00°
Fractional coordinates of all 18 atoms:
Dy 0.0000 0.0000 0.1661
Dy 0.0000 0.0000 0.8339
Dy 0.5000 0.5000 0.3339
Dy 0.5000 0.5000 0.6661
U 0.0000 0.0000 0.5000
U 0.5000 0.5000 0.0000
O 0.1849 0.1849 0.3444
O 0.1849 0.1849 0.6556
O 0.2078 0.2078 0.0000
O 0.2922 0.7078 0.5000
O 0.3151 0.6849 0.1556
O 0.3151 0.6849 0.8444
O 0.6849 0.3151 0.1556
O 0.6849 0.3151 0.8444
O 0.7078 0.2922 0.5000
O 0.7922 0.7922 0.0000
O 0.8151 0.8151 0.3444
O 0.8151 0.8151 0.6556

Values from the calculation:
Calculated volume, Å³ per atom: 15.1

***

Most stable structure, least stable structure: run one, run two.